(1)
The following is a DFT calculation (PBE) of a relaxed PuHg2F11 crystal. Values from VASP.

The structure in Quantum ESPRESSO input format:
```
&SYSTEM
  ibrav = 0, nat = 28, ntyp = 3
/
ATOMIC_SPECIES
Pu 244.00 Pu.upf
Hg 200.59 Hg.upf
F 19.00 F.upf
CELL_PARAMETERS angstrom
-4.1441 0.3364 -6.1461
2.5747 -5.7452 -6.5298
-6.9028 -5.8826 -0.1469
ATOMIC_POSITIONS angstrom
Pu -6.3542 -8.4685 -9.6171
Pu -2.1181 -2.8228 -3.2057
Hg -3.4027 -5.5719 -8.3641
Hg -5.0696 -5.7195 -4.4588
Hg -8.9232 -5.5771 -6.3320
Hg 0.4509 -5.7143 -6.4909
F -4.5951 -7.6379 -8.6311
F -3.8772 -3.6535 -4.1917
F -3.9415 -7.8367 -4.3773
F -6.5903 -9.2771 -11.6289
F -4.5307 -3.4547 -8.4455
F -1.8820 -2.0143 -1.1940
F -6.1458 -9.4588 -7.6852
F -2.3265 -1.8325 -5.1377
F -4.2361 -5.6457 -6.4114
F 0.0000 0.0000 0.0000
F -3.0767 -5.4856 -10.4226
F -5.3955 -5.8058 -2.4003
F -6.8918 -5.6292 -5.8611
F -1.5805 -5.6621 -6.9617
F -3.5685 -1.4266 -2.8786
F -4.9037 -9.8647 -9.9443
F -0.6250 -1.4484 -3.4099
F -2.9383 -4.2519 -2.0036
F -7.8473 -9.8430 -9.4129
F -5.5339 -7.0394 -10.8193
F -1.3404 -4.1644 -4.5308
F -7.1318 -7.1269 -8.2921
```

Computed properties:
The raw formation energy is -1943 meV per atom. The space group is Ibam, No. 72. As for the crystal system: orthorhombic. The electronic total energy is -0.3293 Ry/atom.

***

(2)
The following is a DFT calculation (PBE) of a relaxed Pu2HgF7 crystal. Values from VASP.

The structure in Quantum ESPRESSO input format:
```
&SYSTEM
  ibrav = 0, nat = 10, ntyp = 3
/
ATOMIC_SPECIES
Pu 244.00 Pu.upf
Hg 200.59 Hg.upf
F 19.00 F.upf
CELL_PARAMETERS angstrom
-4.0326 -1.9819 -0.6712
2.4252 -2.8636 -6.1156
0.6841 -3.5004 6.2260
ATOMIC_POSITIONS angstrom
Pu -0.1424 -4.0562 -2.5433
Pu -0.7808 -4.2897 1.9824
Hg 0.0000 0.0000 0.0000
F 1.8713 -3.0662 -2.1894
F 1.2380 -3.2978 2.2998
F -1.7071 -2.2892 1.6401
F 0.7839 -6.0567 -2.2010
F -1.1555 -2.0874 -2.2698
F 0.2323 -6.2584 1.7089
F -0.4616 -4.1729 -0.2804
```

Computed properties:
The raw formation energy is -3139 meV per atom. The space group is Cmmm, No. 65. As for the crystal system: orthorhombic. The electronic total energy is -0.5399 Ry/atom.

***

(3)
The following is a DFT calculation (PBE) of a relaxed PuHg2F4 crystal. Values from VASP.

The structure in Quantum ESPRESSO input format:
```
&SYSTEM
  ibrav = 0, nat = 7, ntyp = 3
/
ATOMIC_SPECIES
F 19.00 F.upf
Hg 200.59 Hg.upf
Pu 244.00 Pu.upf
CELL_PARAMETERS angstrom
3.9356 0.0000 -0.6582
-0.1702 3.8547 -1.0174
-0.5914 0.1461 8.5591
ATOMIC_POSITIONS angstrom
F 0.1148 2.2540 0.6861
F 3.0593 1.7468 6.1974
F 1.0065 3.6724 6.0182
F 2.1676 0.3284 0.8653
Hg 0.6925 1.1126 4.1408
Hg 2.4816 2.8883 2.7427
Pu 0.0000 0.0000 0.0000
```

Computed properties:
The calculation puts the energy above the lowest structure with this stoichiometry at 24 meV per atom. The raw formation energy is -2440 meV per atom. The space group is C2/m, No. 12. As for the crystal system: monoclinic. The electronic total energy is -0.4147 Ry/atom.

***

(4)
The following is a DFT calculation (PBE) of a relaxed Pu2HgF11 crystal. Values from VASP.

The structure in Quantum ESPRESSO input format:
```
&SYSTEM
  ibrav = 0, nat = 28, ntyp = 3
/
ATOMIC_SPECIES
Pu 244.00 Pu.upf
Hg 200.59 Hg.upf
F 19.00 F.upf
CELL_PARAMETERS angstrom
7.5976 0.0000 3.9601
3.5069 7.4903 2.5401
0.3246 -0.0785 8.6455
ATOMIC_POSITIONS angstrom
Pu 7.4627 5.0594 7.0956
Pu 3.9663 2.3523 8.0501
Pu 7.3121 1.2750 10.8992
Pu 4.1168 6.1368 4.2465
Hg 8.5717 5.5588 11.3593
Hg 2.8572 1.8529 3.7864
F 7.4707 5.2020 9.1976
F 3.9583 2.2098 5.9481
F 2.9517 4.1908 7.8794
F 10.0980 6.9269 12.7053
F 8.4773 3.2210 7.2663
F 1.3310 0.4849 2.4404
F 6.1691 5.9157 11.6947
F 5.2599 1.4961 3.4510
F 5.7145 3.7059 7.5729
F 0.0000 0.0000 0.0000
F 9.3877 5.8779 7.2595
F 2.0412 1.5339 7.8862
F 6.0753 2.0934 9.4149
F 5.3537 5.3183 5.7308
F 6.8436 7.0849 7.0455
F 4.5854 0.3269 8.1002
F 3.5311 2.4017 10.1229
F 1.1645 1.2256 5.3952
F 7.8979 5.0100 5.0228
F 10.2645 6.1862 9.7505
F 3.7212 4.1113 3.7677
F 7.7078 3.3005 11.3780
```

Computed properties:
The raw formation energy is -2862 meV per atom. The space group is Ibam, No. 72. As for the crystal system: orthorhombic. The electronic total energy is -0.4705 Ry/atom.